Entry 1:
The following is a GGA-PBE calculation of a relaxed Sc2SBr2 crystal, from Alexandria.

## Properties
Crystal system   monoclinic
Raw total energy   -5.78 eV per atom
D(E_F)   2.0 states/eV/f.u.
Space-group type   C2/m

The structure in POSCAR format:
```
Sc2SBr2
1.0
-1.764 -0.499 3.289
0.862 -2.955 2.169
6.838 4.675 6.533
Sc S Br
2 1 2
Cartesian
1.441 0.783 5.203
4.495 0.438 6.789
3.850 0.860 4.351
1.375 -1.968 4.750
4.560 3.189 7.241
```

***

Entry 2:
The following is a GGA-PBE calculation of a relaxed Sc2SBr crystal, from Alexandria.

## Properties
Energy relative to the lowest polymorph listed for this composition   0.3269 eV per atom
Crystal system   cubic
D(E_F)   3.6 states/eV/f.u.
Space-group type   Fm-3m

The structure in POSCAR format:
```
Sc2SBr
1.0
4.396 -0.274 1.630
1.637 3.305 2.908
0.770 -1.020 4.520
Sc S Br
2 1 1
Cartesian
1.701 0.503 2.264
5.102 1.509 6.793
0.000 0.000 0.000
3.401 1.006 4.529
```

***

Entry 3:
The following is a GGA-PBE calculation of a relaxed ScS6Br2 crystal, from Alexandria.

## Properties
Crystal system   triclinic
Raw total energy   -4.30 eV per atom
D(E_F)   4.5 states/eV/f.u.
Space-group type   P-1

The structure in POSCAR format:
```
ScS6Br2
1.0
4.000 -0.026 -0.183
-0.408 7.188 -3.982
-0.086 0.363 8.777
Sc S Br
1 6 2
Cartesian
0.000 0.000 0.000
3.352 3.670 0.241
0.154 3.855 4.371
3.156 5.371 3.204
3.415 2.147 3.412
0.091 5.379 1.200
0.350 2.154 1.408
1.617 6.228 -2.510
1.890 1.297 7.122
```

***

Entry 4:
The following is a GGA-PBE calculation of a relaxed ScSeSBr2 crystal, from Alexandria.

## Properties
Energy relative to the lowest polymorph listed for this composition   0.4489 eV per atom
Crystal system   tetragonal
D(E_F)   5.2 states/eV/f.u.
Space-group type   P4/mmm

The structure in POSCAR format:
```
ScSeSBr2
1.0
-2.341 3.680 -2.702
-4.164 -0.476 2.959
1.801 3.411 3.084
Sc S Se Br
1 1 1 2
Cartesian
-2.352 3.307 1.670
0.000 0.000 0.000
0.901 1.705 1.542
-2.082 -0.238 1.480
-1.170 1.840 -1.351
```

***

Entry 5:
The following is a GGA-PBE calculation of a relaxed ScSeSBr2 crystal, from Alexandria.

## Properties
Energy relative to the lowest polymorph listed for this composition   0.0000 eV per atom
Crystal system   tetragonal
D(E_F)   3.9 states/eV/f.u.
Space-group type   P4/mmm

The structure in POSCAR format:
```
ScSeSBr2
1.0
-3.787 3.162 1.793
-0.439 -2.968 4.307
3.695 3.028 2.463
Sc S Se Br
1 1 1 2
Cartesian
0.000 0.000 0.000
-0.265 1.611 4.282
1.848 1.514 1.232
-0.220 -1.484 2.154
-1.893 1.581 0.896
```

***

Entry 6:
The following is a GGA-PBE calculation of a relaxed SeS2Br crystal, from Alexandria.

## Properties
Energy relative to the lowest polymorph listed for this composition   0.8138 eV per atom
Crystal system   cubic
D(E_F)   3.0 states/eV/f.u.
Space-group type   Fm-3m

The structure in POSCAR format:
```
SeS2Br
1.0
4.464 1.657 0.165
0.904 4.212 2.037
2.320 0.187 4.158
S Se Br
2 1 1
Cartesian
1.922 1.514 1.590
5.766 4.542 4.770
0.000 0.000 0.000
3.844 3.028 3.180
```

***

Entry 7:
The following is a GGA-PBE calculation of a relaxed Se2S3Br4 crystal, from Alexandria.

## Properties
Crystal system   monoclinic
Raw total energy   -2.81 eV per atom
D(E_F)   5.1 states/eV/f.u.
Space-group type   C2/c

The structure in POSCAR format:
```
Se2S3Br4
1.0
8.304 8.456 0.235
-8.304 8.456 0.235
0.000 1.184 6.342
Se S Br
4 6 8
Cartesian
0.132 13.703 3.473
0.132 3.800 0.167
-0.132 4.392 3.338
-0.132 14.295 6.644
-0.021 16.303 6.277
-0.021 2.385 3.705
0.021 1.793 0.535
0.021 15.711 3.106
0.982 8.752 1.820
-0.982 9.344 4.991
2.299 7.698 3.236
2.299 9.806 0.404
-2.299 10.398 3.575
-2.299 8.290 6.407
-2.473 12.422 0.350
-2.473 5.081 3.290
2.473 5.673 6.461
2.473 13.014 3.521
```

***

Entry 8:
The following is a GGA-PBE calculation of a relaxed SeS2Br crystal, from Alexandria.

## Properties
Energy relative to the lowest polymorph listed for this composition   0.4044 eV per atom
Crystal system   tetragonal
D(E_F)   4.8 states/eV/f.u.
Space-group type   I-42d

The structure in POSCAR format:
```
SeS2Br
1.0
-2.530 -0.770 -6.616
3.743 -6.019 -0.730
-2.369 -5.411 -2.301
S Se Br
4 2 2
Cartesian
-1.570 -2.545 -4.449
1.296 -5.252 -2.212
-1.122 -6.925 -4.520
-0.914 -9.678 -8.115
0.607 -3.394 -3.673
0.991 -7.412 -3.352
0.000 0.000 0.000
-2.146 -4.788 -6.295
```

***

Entry 9:
The following is a GGA-PBE calculation of a relaxed SeS5Br crystal, from Alexandria.

## Properties
Crystal system   triclinic
Raw total energy   -3.59 eV per atom
Space-group type   P1

The structure in POSCAR format:
```
SeS5Br
1.0
9.466 -2.484 -6.638
-1.096 5.721 -1.232
-4.530 1.495 8.104
Se S Br
1 5 1
Cartesian
3.331 -0.831 -1.838
6.098 -0.908 -3.886
-0.986 3.986 1.032
3.023 2.955 -3.079
4.995 3.076 -4.265
0.494 0.132 2.193
4.356 0.382 -0.008
```

***

Entry 10:
The following is a GGA-PBE calculation of a relaxed SeS3Br crystal, from Alexandria.

## Properties
Energy relative to the lowest polymorph listed for this composition   0.7256 eV per atom
Crystal system   cubic
D(E_F)   8.1 states/eV/f.u.
Space-group type   Pm-3m

The structure in POSCAR format:
```
SeS3Br
1.0
-1.176 -4.631 -0.792
4.356 -1.381 1.605
-1.760 -0.323 4.500
S Se Br
3 1 1
Cartesian
2.178 -0.690 0.802
-0.880 -0.161 2.250
-0.588 -2.315 -0.396
0.000 0.000 0.000
0.710 -3.167 2.657
```

***

Entry 11:
The following is a GGA-PBE calculation of a relaxed Se2SBr crystal, from Alexandria.

## Properties
Energy relative to the lowest polymorph listed for this composition   0.1067 eV per atom
Crystal system   tetragonal
D(E_F)   4.2 states/eV/f.u.
Space-group type   I-42d

The structure in POSCAR format:
```
Se2SBr
1.0
7.245 0.000 0.000
0.000 7.245 0.000
3.623 3.623 3.901
S Se Br
2 4 2
Cartesian
3.623 3.623 0.000
3.623 7.245 1.950
5.009 1.811 0.975
2.236 5.434 0.975
5.434 5.859 2.925
9.057 8.632 2.925
0.000 0.000 0.000
7.245 3.623 1.950
```

***

Entry 12:
The following is a GGA-PBE calculation of a relaxed Se4S2Br3 crystal, from Alexandria.

## Properties
Crystal system   monoclinic
Raw total energy   -2.95 eV per atom
D(E_F)   4.0 states/eV/f.u.
Space-group type   C2/c

The structure in POSCAR format:
```
Se4S2Br3
1.0
1.529 5.910 -6.034
-8.769 0.266 3.933
0.470 3.129 9.079
Se S Br
8 4 6
Cartesian
-7.717 2.878 5.276
-5.345 1.760 1.640
0.947 6.427 1.701
-1.425 7.545 5.338
-1.981 1.397 4.118
-4.494 5.282 6.467
-4.789 7.908 2.860
-2.276 4.023 0.510
-0.505 3.761 2.056
-4.462 3.385 9.369
-6.265 5.544 4.921
-2.308 5.920 -2.391
1.224 5.781 -2.686
-5.068 7.149 7.849
-7.993 3.524 9.663
-1.702 2.156 -0.872
-4.108 3.069 4.807
-2.661 6.236 2.170
```

***

no.,theoretical density (Mg/m³),total moment (μB/f.u.)
1,3.7,0.000
2,4.6,0.000
3,2.6,0.005
4,4.0,0.685
5,3.5,2.881
6,4.8,0.000
7,2.2,0.000
8,3.8,0.000
9,2.0,1.000
10,3.7,0.001
11,4.4,0.000
12,3.3,0.000